# K3SbTe4

An optimized crystal structure of K3SbTe4 (GGA-PBE, Alexandria via LeMat-Bulk).

The structure in POSCAR format:
```
K3SbTe4
1.0
-4.317 4.317 4.317
4.317 -4.317 4.317
4.317 4.317 -4.317
K Sb Te
3 1 4
Direct
0.000 0.500 0.500
0.500 0.000 0.500
0.500 0.500 0.000
0.000 0.000 0.000
0.000 0.000 0.371
0.000 0.371 0.000
0.371 0.000 0.000
0.629 0.629 0.629
```

ΔE to the lowest computed polymorph: 0.0 meV/atom
ΔE_f (raw): -0.67 eV per atom
Symmetry: I-43m, No. 217